i) # NbCoTc2H | Alexandria | PBE | optimized geometry
data_NbCoTc2H
_chemical_formula_sum 'Nb1 Co1 Tc2 H1'
_cell_length_a 3.853
_cell_length_b 3.853
_cell_length_c 4.030
_cell_angle_alpha 90.00
_cell_angle_beta 90.00
_cell_angle_gamma 90.00
_space_group_name_H-M_alt 'P 1'
_space_group_IT_number 1
loop_
_space_group_symop_operation_xyz
'x,y,z'
loop_
_atom_site_label
_atom_site_fract_x
_atom_site_fract_y
_atom_site_fract_z
Tc1 0.000 0.500 0.000
Tc2 0.500 0.000 0.000
Co1 0.500 0.500 0.500
Nb1 0.000 0.000 0.500
H1 0.000 0.000 0.000
# Fermi-level density of states ... 0.90 states/eV/atom
# SG ... P4/mmm, No. 123

ii) # NbCoTc2H | Alexandria | PBE | optimized geometry
data_NbCoTc2H
_chemical_formula_sum 'Nb1 Co1 Tc2 H1'
_cell_length_a 3.948
_cell_length_b 3.948
_cell_length_c 3.813
_cell_angle_alpha 90.00
_cell_angle_beta 90.00
_cell_angle_gamma 90.00
_space_group_name_H-M_alt 'P 1'
_space_group_IT_number 1
loop_
_space_group_symop_operation_xyz
'x,y,z'
loop_
_atom_site_label
_atom_site_fract_x
_atom_site_fract_y
_atom_site_fract_z
Tc1 0.500 0.000 0.000
Tc2 0.000 0.500 0.000
Nb1 0.500 0.500 0.500
H1 0.000 0.000 0.000
Co1 0.000 0.000 0.500
# Fermi-level density of states ... 1.09 states/eV/atom
# SG ... P4/mmm, No. 123

Computed energies relative to the best structure, in meV per atom: i) 52; ii) 0

i) # Nb2CoTcH | Alexandria | PBE | optimized geometry
data_Nb2CoTcH
_chemical_formula_sum 'Nb2 Co1 Tc1 H1'
_cell_length_a 4.202
_cell_length_b 4.202
_cell_length_c 3.653
_cell_angle_alpha 90.00
_cell_angle_beta 90.00
_cell_angle_gamma 90.00
_space_group_name_H-M_alt 'P 1'
_space_group_IT_number 1
loop_
_space_group_symop_operation_xyz
'x,y,z'
loop_
_atom_site_label
_atom_site_fract_x
_atom_site_fract_y
_atom_site_fract_z
Tc1 0.000 0.000 0.500
Co1 0.500 0.500 0.500
H1 0.000 0.000 0.000
Nb1 0.000 0.500 0.000
Nb2 0.500 0.000 0.000
# Fermi-level density of states ... 1.20 states/eV/atom
# SG ... P4/mmm, No. 123

ii) # Nb2CoTcH | Alexandria | PBE | optimized geometry
data_Nb2CoTcH
_chemical_formula_sum 'Nb2 Co1 Tc1 H1'
_cell_length_a 4.336
_cell_length_b 4.336
_cell_length_c 3.383
_cell_angle_alpha 90.00
_cell_angle_beta 90.00
_cell_angle_gamma 90.00
_space_group_name_H-M_alt 'P 1'
_space_group_IT_number 1
loop_
_space_group_symop_operation_xyz
'x,y,z'
loop_
_atom_site_label
_atom_site_fract_x
_atom_site_fract_y
_atom_site_fract_z
H1 0.000 0.000 0.000
Nb1 0.000 0.500 0.000
Nb2 0.500 0.000 0.000
Co1 0.000 0.000 0.500
Tc1 0.500 0.500 0.500
# Fermi-level density of states ... 0.84 states/eV/atom
# SG ... P4/mmm, No. 123

Computed energies relative to the best structure, in meV per atom: i) 138; ii) 0

i) # NbV2CoH | Alexandria | PBE | optimized geometry
data_NbV2CoH
_chemical_formula_sum 'Nb1 V2 Co1 H1'
_cell_length_a 3.687
_cell_length_b 3.687
_cell_length_c 4.288
_cell_angle_alpha 90.00
_cell_angle_beta 90.00
_cell_angle_gamma 90.00
_space_group_name_H-M_alt 'P 1'
_space_group_IT_number 1
loop_
_space_group_symop_operation_xyz
'x,y,z'
loop_
_atom_site_label
_atom_site_fract_x
_atom_site_fract_y
_atom_site_fract_z
V1 0.500 0.000 0.000
V2 0.000 0.500 0.000
Nb1 0.000 0.000 0.500
H1 0.000 0.000 0.000
Co1 0.500 0.500 0.500
# Fermi-level density of states ... 1.17 states/eV/atom
# SG ... P4/mmm, No. 123

ii) # NbV2CoH | Alexandria | PBE | optimized geometry
data_NbV2CoH
_chemical_formula_sum 'Nb1 V2 Co1 H1'
_cell_length_a 4.144
_cell_length_b 4.144
_cell_length_c 3.339
_cell_angle_alpha 90.00
_cell_angle_beta 90.00
_cell_angle_gamma 90.00
_space_group_name_H-M_alt 'P 1'
_space_group_IT_number 1
loop_
_space_group_symop_operation_xyz
'x,y,z'
loop_
_atom_site_label
_atom_site_fract_x
_atom_site_fract_y
_atom_site_fract_z
V1 0.000 0.500 0.000
V2 0.500 0.000 0.000
Nb1 0.500 0.500 0.500
H1 0.000 0.000 0.000
Co1 0.000 0.000 0.500
# Fermi-level density of states ... 0.63 states/eV/atom
# SG ... P4/mmm, No. 123

Computed energies relative to the best structure, in meV per atom: i) 59; ii) 0